! K2CrSO6 PBE with a Hubbard U relaxed; values from VASP
! DOS at the Fermi energy = 0.16 states/eV per cell
! Energy = -5.710 eV/atom
! Space group = P-3m1 (164)
&SYSTEM
  ibrav = 0, nat = 10, ntyp = 4
/
ATOMIC_SPECIES
K 39.10 K.upf
Cr 52.00 Cr.upf
S 32.06 S.upf
O 16.00 O.upf
CELL_PARAMETERS angstrom
5.9824 0.0000 0.0000
-2.9912 5.1809 0.0000
0.0000 0.0000 5.0378
ATOMIC_POSITIONS crystal
K 0.3333 0.6667 0.1656
K 0.6667 0.3333 0.8344
Cr 0.0000 0.0000 0.5000
S 0.0000 0.0000 0.0000
O 0.1297 0.2593 0.7987
O 0.1297 0.8703 0.7987
O 0.2593 0.1297 0.2013
O 0.7407 0.8703 0.7987
O 0.8703 0.1297 0.2013
O 0.8703 0.7407 0.2013